Computed, not measured: an optimized crystal structure of TeP2Ru at the GGA-PBE level of DFT.

a b c (Å): 3.1838 3.1838 24.9202
angles (deg): 90.00 90.00 120.00
Space group R-3m (No. 166, hexagonal axes)
Symmetry-distinct sites (fractional):
Te (0.0000, 0.0000, 0.0000) x3
P (0.0000, 0.0000, 0.2302) x6
Ru (0.0000, 0.0000, 0.5000) x3

Values from the calculation:
Its calculated total energy is -5.7020 eV/atom. The value obtained for the uncorrected formation energy is 0.43 eV per formula unit. Its density of states at the Fermi level is 7.76 states/eV/cell.